A plane-wave DFT calculation with GGA-PBE was carried out for a relaxed LaZrMn2 crystal.

Cell lengths 5.3778, 5.3778, 5.3778 Å; angles 132.80, 132.80, 68.97 degrees
Each line ends with the local moment (μB).
Fractional positions:
La  0.7500  0.2500  0.5000  -0.23
Zr  0.5000  0.5000  0.0000  -0.56
Mn  0.0000  0.0000  0.0000  3.36
Mn  0.2500  0.7500  0.5000  3.19

Output
DOS(E_F)	1.158	states/eV per atom
SG	I-4m2, No. 119
formation energy from the elements	375	meV per atom
crystal system	tetragonal